Record 1
Entry from the Alexandria database: a relaxed structure of YHoAs (PBE).

Lattice parameters (Å, degrees): 8.044 8.044 8.044 99.48 99.48 99.48
Fractional positions:
As 0.308 0.635 0.122
As 0.635 0.122 0.308
As 0.122 0.308 0.635
As 0.878 0.692 0.365
As 0.365 0.878 0.692
As 0.692 0.365 0.878
Ho 0.554 0.414 0.189
Ho 0.586 0.811 0.446
Ho 0.811 0.446 0.586
Ho 0.189 0.554 0.414
Ho 0.414 0.189 0.554
Ho 0.446 0.586 0.811
Y 0.070 0.311 0.979
Y 0.689 0.021 0.930
Y 0.021 0.930 0.689
Y 0.979 0.070 0.311
Y 0.311 0.979 0.070
Y 0.930 0.689 0.021

Calculated values
The value obtained for the density of states at the Fermi level is 0.6590 states/eV/atom. The value obtained for the total energy is -109.4 eV/cell. The value obtained for the formation energy from the elements is -2.54 eV per formula unit. The calculation puts the magnetization at 0.09 μB/atom. As for the symmetry: R-3 (148).

=====

Record 2
Entry from the Alexandria database: a relaxed structure of LaTb4NdS8 (PBE).

Lattice parameters (Å, degrees): 8.172 8.172 8.224 60.21 60.21 60.00
Fractional positions:
La 0.374 0.374 0.878
Tb 0.626 0.626 0.123
Tb 0.999 0.503 0.499
Tb 0.503 0.999 0.499
Tb 0.999 0.999 0.499
Nd 0.999 0.999 0.003
S 0.243 0.783 0.730
S 0.783 0.243 0.730
S 0.243 0.243 0.730
S 0.237 0.237 0.288
S 0.751 0.233 0.265
S 0.233 0.751 0.265
S 0.751 0.751 0.265
S 0.758 0.758 0.727

Calculated values
The value obtained for the density of states at the Fermi level is 0.6082 states/eV/atom. The value obtained for the total energy is -88.5 eV/cell. The calculation puts the magnetization at 0.00 μB/atom. As for the symmetry: R3m (160). The formation energy (no corrections) is -1.945 eV/atom.

=====

Record 3
Entry from the Alexandria database: a relaxed structure of TlSbOF2 (PBE).

Lattice parameters (Å, degrees): 4.574 4.574 4.294 90.00 90.00 90.00
Fractional positions:
Sb 0.500 0.500 0.500
Tl 0.000 0.000 0.000
O 0.000 0.000 0.500
F 0.000 0.500 0.000
F 0.500 0.000 0.000

Calculated values
The value obtained for the density of states at the Fermi level is 0.4547 states/eV/atom. The value obtained for the total energy is -18.9 eV/cell. The calculation puts the magnetization at 0.00 μB/atom. As for the symmetry: P4/mmm (123). The formation energy (no corrections) is -0.739 eV/atom.